[1]
A plane-wave DFT calculation with PBE was carried out for crystalline PrErInPt at its relaxed geometry.

Lattice parameters (Å, degrees): 5.2172 5.2172 5.2172 60.00 60.00 60.00
Sites, in units of the cell vectors:
Pr1 0.0000 0.0000 0.0000
Er1 0.5000 0.5000 0.5000
In1 0.7500 0.7500 0.7500
Pt1 0.2500 0.2500 0.2500

Calculated values
calculated total energy: -5.209 eV per atom
E_form: -678.7 meV per atom
volume: 25.1 Å³/atom
DOS at the Fermi energy: 0.82 states/eV per atom

[2]
A plane-wave DFT calculation with PBE was carried out for crystalline PrErInRh at its relaxed geometry.

Lattice parameters (Å, degrees): 5.1822 5.1822 5.1822 60.00 60.00 60.00
Sites, in units of the cell vectors:
Pr1 0.0000 0.0000 0.0000
Er1 0.5000 0.5000 0.5000
In1 0.7500 0.7500 0.7500
Rh1 0.2500 0.2500 0.2500

Calculated values
calculated total energy: -5.338 eV per atom
E_form: -479.6 meV per atom
volume: 24.6 Å³/atom
DOS at the Fermi energy: 0.88 states/eV per atom

> Among the records above, which one has the lowest volume?

PrErInRh

What did the first record say?
A plane-wave DFT calculation with PBE was carried out for crystalline PrErInPt at its relaxed geometry.

Lattice parameters (Å, degrees): 5.2172 5.2172 5.2172 60.00 60.00 60.00
Sites, in units of the cell vectors:
Pr1 0.0000 0.0000 0.0000
Er1 0.5000 0.5000 0.5000
In1 0.7500 0.7500 0.7500
Pt1 0.2500 0.2500 0.2500

Calculated values
calculated total energy: -5.209 eV per atom
E_form: -678.7 meV per atom
volume: 25.1 Å³/atom
DOS at the Fermi energy: 0.82 states/eV per atom

> Among the records above, which one has the lowest E_form?

PrErInPt

> The lowest volume belongs to which entry?

PrErInRh